# BaGaCu2Cl8 (PBE-GGA, optimized geometry)
data_BaGaCu2Cl8
_cell_length_a 6.0904
_cell_length_b 6.7535
_cell_length_c 8.6359
_cell_angle_alpha 67.75
_cell_angle_beta 80.52
_cell_angle_gamma 82.30
_symmetry_space_group_name_H-M 'P -1'
_symmetry_Int_Tables_number 2
loop_
_symmetry_equiv_pos_as_xyz
'x,y,z'
'-x,-y,-z'
loop_
_atom_site_label
_atom_site_fract_x
_atom_site_fract_y
_atom_site_fract_z
Ba1 0.0000 0.0000 0.0000
Ga1 0.0000 0.5000 0.5000
Cu1 0.4905 0.5109 0.8087
Cl1 0.1150 0.4817 0.7759
Cl2 0.1517 0.8260 0.3558
Cl3 0.3434 0.3053 0.4458
Cl4 0.4877 0.7715 0.9450
# Calculated density ... 3.17 g/cm3
# Fermi-level density of states ... 5.166 states/eV/cell
# Crystal system ... triclinic
# Formation energy without anion corrections ... -1.14 eV per atom